(1)
12
Lattice="6.019 0.000 0.000 0.000 3.847 0.000 -2.353 0.000 7.211" Properties=species:S:1:pos:R:3 comment="CuPt2 | Alexandria | meta-GGA SCAN | single point on PBEsol structure" total_energy_ev_per_atom=-51.96 delta_e_f_ev_per_atom=-0.1003 vol_a3_per_atom=13.916 sg="No. 10" pbc="T T T"
Cu 0.601 0.000 1.129
Cu -1.207 1.924 6.668
Cu 3.065 0.000 6.083
Cu 4.873 1.924 0.543
Pt 0.010 1.924 2.920
Pt -0.615 0.000 4.881
Pt 2.416 1.924 1.754
Pt 3.010 0.000 0.000
Pt 1.833 0.000 3.606
Pt 1.250 1.924 5.457
Pt 4.281 0.000 2.330
Pt 3.657 1.924 4.291


(2)
12
Lattice="3.748 0.000 0.000 0.000 2.700 8.081 0.000 -2.700 8.081" Properties=species:S:1:pos:R:3 comment="Cu5Pt7 | Alexandria | meta-GGA SCAN | single point on PBEsol structure" total_energy_ev_per_atom=-47.39 delta_e_f_ev_per_atom=-0.1067 vol_a3_per_atom=13.631 sg="No. 38" pbc="T T T"
Cu 0.000 0.000 0.000
Cu 0.000 0.000 2.636
Cu 0.000 0.000 10.766
Cu 1.874 -1.344 12.032
Cu 1.874 1.344 12.032
Pt 0.000 0.000 5.165
Pt 0.000 0.000 8.070
Pt 0.000 0.000 13.342
Pt 1.874 -1.359 6.675
Pt 1.874 -1.370 9.482
Pt 1.874 1.359 6.675
Pt 1.874 1.370 9.482


(3)
7
Lattice="3.546 2.047 2.184 -3.546 2.047 2.184 0.000 -4.094 2.184" Properties=species:S:1:pos:R:3 comment="Cu3Pt4 | Alexandria | meta-GGA SCAN | single point on PBEsol structure" total_energy_ev_per_atom=-46.76 delta_e_f_ev_per_atom=-0.1326 vol_a3_per_atom=13.589 sg="No. 146" pbc="T T T"
Cu -0.507 -2.648 2.184
Cu -2.040 1.763 2.184
Cu 2.546 0.885 2.184
Pt 0.000 0.000 2.141
Pt -1.523 0.292 4.376
Pt 0.509 -1.465 4.376
Pt 1.014 1.173 4.376


(4)
12
Lattice="6.034 0.000 0.000 0.000 3.779 0.000 -2.310 0.000 7.150" Properties=species:S:1:pos:R:3 comment="Cu5Pt7 | Alexandria | meta-GGA SCAN | single point on PBEsol structure" total_energy_ev_per_atom=-47.39 delta_e_f_ev_per_atom=-0.1143 vol_a3_per_atom=13.586 sg="No. 10" pbc="T T T"
Cu 0.000 0.000 0.000
Cu -1.757 1.890 5.451
Cu 1.797 1.890 0.580
Cu 1.927 1.890 6.570
Cu 5.481 1.890 1.699
Pt -1.155 0.000 3.575
Pt 1.210 0.000 2.278
Pt 0.013 0.000 6.034
Pt 0.643 1.890 4.187
Pt 3.082 1.890 2.963
Pt 3.711 0.000 1.116
Pt 2.514 0.000 4.872


(5)
12
Lattice="5.411 0.000 0.000 -2.705 4.686 0.000 0.000 0.000 6.598" Properties=species:S:1:pos:R:3 comment="CuPt2 | Alexandria | meta-GGA SCAN | single point on PBEsol structure" total_energy_ev_per_atom=-51.99 delta_e_f_ev_per_atom=-0.1239 vol_a3_per_atom=13.941 sg="No. 156" pbc="T T T"
Cu 0.000 0.000 0.000
Cu 0.000 1.543 4.449
Cu -1.369 3.914 4.449
Cu 1.369 3.914 4.449
Pt -1.345 2.348 6.567
Pt 1.344 0.776 2.282
Pt 0.000 3.124 2.271
Pt 1.345 2.348 6.567
Pt 0.000 4.677 6.567
Pt 2.705 1.562 4.450
Pt 4.066 0.776 2.282
Pt 2.705 3.134 2.282


(6)
12
Lattice="2.717 0.000 0.000 0.000 13.785 0.000 0.000 0.000 4.481" Properties=species:S:1:pos:R:3 comment="CuPt2 | Alexandria | meta-GGA SCAN | single point on PBEsol structure" total_energy_ev_per_atom=-51.90 delta_e_f_ev_per_atom=-0.0391 vol_a3_per_atom=13.987 sg="No. 63" pbc="T T T"
Cu 0.000 3.076 1.120
Cu 0.000 10.710 3.361
Cu 1.358 3.817 3.361
Cu 1.358 9.968 1.120
Pt 0.000 1.629 3.361
Pt 0.000 6.066 3.361
Pt 0.000 7.720 1.120
Pt 0.000 12.156 1.120
Pt 1.358 0.827 1.120
Pt 1.358 5.263 1.120
Pt 1.358 8.522 3.361
Pt 1.358 12.958 3.361


(7)
9
Lattice="-3.939 3.939 1.889 3.939 -3.939 1.889 3.939 3.939 -1.889" Properties=species:S:1:pos:R:3 comment="Cu5Pt4 | Alexandria | meta-GGA SCAN | single point on PBEsol structure" total_energy_ev_per_atom=-39.78 delta_e_f_ev_per_atom=-0.1364 vol_a3_per_atom=13.030 sg="No. 139" pbc="T T T"
Cu 0.000 0.000 0.000
Cu 2.653 2.653 0.000
Cu 1.286 -1.286 1.889
Cu -1.286 1.286 1.889
Cu 1.286 1.286 1.889
Pt 2.545 0.000 0.000
Pt 5.334 0.000 0.000
Pt 0.000 2.545 0.000
Pt 0.000 5.334 0.000


(8)
6
Lattice="2.705 0.000 0.000 0.000 3.788 0.000 0.000 0.000 8.172" Properties=species:S:1:pos:R:3 comment="CuPt2 | Alexandria | meta-GGA SCAN | single point on PBEsol structure" total_energy_ev_per_atom=-51.92 delta_e_f_ev_per_atom=-0.0608 vol_a3_per_atom=13.954 sg="No. 71" pbc="T T T"
Cu 0.000 0.000 0.000
Cu 1.352 1.894 4.086
Pt 0.000 0.000 2.754
Pt 0.000 0.000 5.418
Pt 1.352 1.894 1.332
Pt 1.352 1.894 6.840


(9)
12
Lattice="6.072 0.000 0.000 0.000 3.813 0.000 -2.349 0.000 7.210" Properties=species:S:1:pos:R:3 comment="CuPt2 | Alexandria | meta-GGA SCAN | single point on PBEsol structure" total_energy_ev_per_atom=-51.96 delta_e_f_ev_per_atom=-0.0987 vol_a3_per_atom=13.911 sg="No. 6" pbc="T T T"
Cu 0.000 0.000 0.000
Cu -1.784 1.906 5.487
Cu 0.025 0.000 6.075
Cu 3.649 0.000 1.200
Pt -1.204 0.000 3.697
Pt 1.801 1.906 0.545
Pt 0.583 1.906 4.303
Pt 1.234 0.000 2.392
Pt 3.064 1.906 3.037
Pt 1.885 1.906 6.666
Pt 2.480 0.000 4.902
Pt 5.453 1.906 1.778


(10)
12
Lattice="4.690 0.000 0.000 -1.567 5.832 0.000 -0.044 -2.544 6.116" Properties=species:S:1:pos:R:3 comment="CuPt2 | Alexandria | meta-GGA SCAN | single point on PBEsol structure" total_energy_ev_per_atom=-51.97 delta_e_f_ev_per_atom=-0.1066 vol_a3_per_atom=13.940 sg="No. 2" pbc="T T T"
Cu -0.402 1.454 1.804
Cu -0.406 3.926 2.810
Cu 3.484 -0.638 3.307
Cu 3.480 1.833 4.313
Pt 0.339 -1.498 5.301
Pt 0.378 3.540 0.288
Pt 1.092 0.610 3.783
Pt 1.963 0.176 1.321
Pt 1.115 3.111 4.796
Pt 1.986 2.677 2.333
Pt 2.700 -0.252 5.829
Pt 2.739 4.786 0.816


(11)
12
Lattice="6.594 0.000 0.000 0.000 5.387 0.000 -0.025 0.000 4.706" Properties=species:S:1:pos:R:3 comment="CuPt2 | Alexandria | meta-GGA SCAN | single point on PBEsol structure" total_energy_ev_per_atom=-51.97 delta_e_f_ev_per_atom=-0.1067 vol_a3_per_atom=13.930 sg="No. 14" pbc="T T T"
Cu 1.073 0.681 1.966
Cu 1.061 2.012 4.319
Cu 5.509 3.375 0.387
Cu 5.497 4.706 2.740
Pt 1.032 3.370 1.921
Pt 1.020 4.710 4.274
Pt 3.270 0.677 3.518
Pt 3.282 2.017 1.165
Pt 3.287 3.370 3.541
Pt 3.300 4.710 1.188
Pt 5.550 0.677 0.432
Pt 5.537 2.016 2.785


(12)
12
Lattice="4.393 -4.040 0.000 4.393 4.040 0.000 -0.879 0.000 4.400" Properties=species:S:1:pos:R:3 comment="Cu7Pt5 | Alexandria | meta-GGA SCAN | single point on PBEsol structure" total_energy_ev_per_atom=-38.25 delta_e_f_ev_per_atom=-0.1395 vol_a3_per_atom=13.018 sg="No. 12" pbc="T T T"
Cu 0.000 0.000 0.000
Cu 1.963 1.366 1.103
Cu 4.393 1.376 0.000
Cu 1.963 -1.366 1.103
Cu 5.944 1.366 3.298
Cu 4.393 -1.376 0.000
Cu 5.944 -1.366 3.298
Pt 3.953 2.690 2.200
Pt 1.553 0.000 3.374
Pt 3.953 0.000 2.200
Pt 6.354 0.000 1.026
Pt 3.953 -2.690 2.200